No. 1
A plane-wave DFT calculation with PBE-GGA was carried out for Sm2Al3GeAu4 after structural relaxation.

Summary:
energy of formation	-0.67	eV/atom
density of states at the Fermi level	5.52	states/eV per cell

Lattice parameters (Å, degrees): 4.4118 4.4118 10.4955 90.00 90.00 90.00
Fractional coordinates of all 10 atoms:
Sm: 0.5000 0.0000 0.2497
Sm: 0.0000 0.5000 0.7503
Al: 0.0000 0.0000 0.5000
Al: 0.5000 0.0000 0.8713
Al: 0.0000 0.5000 0.1287
Ge: 0.5000 0.5000 0.5000
Au: 0.5000 0.5000 0.0000
Au: 0.0000 0.0000 0.0000
Au: 0.5000 0.0000 0.6342
Au: 0.0000 0.5000 0.3658

No. 2
A plane-wave DFT calculation with PBE-GGA was carried out for Sr2Al3GeAu4 after structural relaxation.

Summary:
energy of formation	-0.60	eV/atom
density of states at the Fermi level	4.42	states/eV per cell

Lattice parameters (Å, degrees): 4.5349 4.5349 10.6333 90.00 90.00 90.00
Fractional coordinates of all 10 atoms:
Sr: 0.5000 0.0000 0.2514
Sr: 0.0000 0.5000 0.7486
Al: 0.0000 0.0000 0.5000
Al: 0.5000 0.0000 0.8784
Al: 0.0000 0.5000 0.1216
Ge: 0.5000 0.5000 0.5000
Au: 0.5000 0.5000 0.0000
Au: 0.0000 0.0000 0.0000
Au: 0.5000 0.0000 0.6355
Au: 0.0000 0.5000 0.3645

No. 3
A plane-wave DFT calculation with PBE-GGA was carried out for Sr2AlGe3Au4 after structural relaxation.

Summary:
energy of formation	-0.54	eV/atom
density of states at the Fermi level	3.76	states/eV per cell

Lattice parameters (Å, degrees): 4.4655 4.4655 11.0136 90.00 90.00 90.00
Fractional coordinates of all 10 atoms:
Sr: 0.5000 0.0000 0.2428
Sr: 0.0000 0.5000 0.7572
Al: 0.5000 0.5000 0.5000
Ge: 0.0000 0.0000 0.5000
Ge: 0.5000 0.0000 0.8661
Ge: 0.0000 0.5000 0.1339
Au: 0.5000 0.5000 0.0000
Au: 0.0000 0.0000 0.0000
Au: 0.5000 0.0000 0.6290
Au: 0.0000 0.5000 0.3710

No. 4
A plane-wave DFT calculation with PBE-GGA was carried out for Sr2AlGeAu6 after structural relaxation.

Summary:
energy of formation	-0.54	eV/atom
density of states at the Fermi level	6.17	states/eV per cell

Lattice parameters (Å, degrees): 6.0143 8.9517 8.8158 90.00 90.00 90.00
Fractional coordinates of all 20 atoms:
Sr: 0.5000 0.7307 0.2539
Sr: 0.0000 0.2693 0.7539
Sr: 0.5000 0.7307 0.7461
Sr: 0.0000 0.2693 0.2461
Al: 0.5000 0.2584 0.5000
Al: 0.0000 0.7416 0.0000
Ge: 0.0000 0.7222 0.5000
Ge: 0.5000 0.2778 0.0000
Au: 0.5000 0.1180 0.2429
Au: 0.5000 0.1180 0.7571
Au: 0.0000 0.8820 0.2571
Au: 0.0000 0.8820 0.7429
Au: 0.2460 0.0183 0.5000
Au: 0.7540 0.0183 0.5000
Au: 0.2546 0.4904 0.5000
Au: 0.7454 0.4904 0.5000
Au: 0.7546 0.5096 0.0000
Au: 0.2454 0.5096 0.0000
Au: 0.2540 0.9817 0.0000
Au: 0.7460 0.9817 0.0000

No. 5
A plane-wave DFT calculation with PBE-GGA was carried out for Sr2AlGe2Au4 after structural relaxation.

Summary:
energy of formation	-0.48	eV/atom
density of states at the Fermi level	6.34	states/eV per cell

Lattice parameters (Å, degrees): 6.6133 6.6133 6.6133 91.89 118.92 118.92
Fractional coordinates of all 9 atoms:
Sr: 0.5000 0.7500 0.2500
Sr: 0.5000 0.2500 0.7500
Al: 0.0000 0.0000 0.0000
Ge: 0.0000 0.6798 0.6798
Ge: 0.0000 0.3202 0.3202
Au: 0.0000 0.7318 0.2682
Au: 0.4637 0.7318 0.7318
Au: 0.0000 0.2682 0.7318
Au: 0.5363 0.2682 0.2682

No. 6
A plane-wave DFT calculation with PBE-GGA was carried out for SrAlGeAu3 after structural relaxation.

Summary:
energy of formation	-0.39	eV/atom
density of states at the Fermi level	4.07	states/eV per cell

Lattice parameters (Å, degrees): 6.3952 6.8977 7.4910 117.41 90.00 90.00
Fractional coordinates of all 12 atoms:
Sr: 0.7500 0.2787 0.5573
Sr: 0.2500 0.7213 0.4427
Al: 0.2500 0.0151 0.0301
Al: 0.7500 0.9849 0.9699
Ge: 0.2500 0.3892 0.7783
Ge: 0.7500 0.6108 0.2217
Au: 0.2500 0.2015 0.4030
Au: 0.0000 0.2867 0.0000
Au: 0.5000 0.7133 0.0000
Au: 0.5000 0.2867 0.0000
Au: 0.0000 0.7133 0.0000
Au: 0.7500 0.7985 0.5970

No. 7
A plane-wave DFT calculation with PBE-GGA was carried out for Tb2Al4GeAu3 after structural relaxation.

Summary:
energy of formation	-0.65	eV/atom
density of states at the Fermi level	3.56	states/eV per cell

Lattice parameters (Å, degrees): 4.3621 4.3621 10.4409 90.00 90.00 90.00
Fractional coordinates of all 10 atoms:
Tb: 0.5000 0.0000 0.2540
Tb: 0.0000 0.5000 0.7460
Al: 0.5000 0.5000 0.0000
Al: 0.0000 0.0000 0.0000
Al: 0.5000 0.0000 0.6336
Al: 0.0000 0.5000 0.3664
Ge: 0.5000 0.5000 0.5000
Au: 0.0000 0.0000 0.5000
Au: 0.5000 0.0000 0.8679
Au: 0.0000 0.5000 0.1321

No. 8
A plane-wave DFT calculation with PBE-GGA was carried out for AlTcGeAu2 after structural relaxation.

Summary:
energy of formation	0.93	eV/atom
density of states at the Fermi level	3.21	states/eV per cell

Lattice parameters (Å, degrees): 5.0489 4.6785 5.0489 90.00 90.00 90.00
Fractional coordinates of all 5 atoms:
Ge: 0.5000 0.5000 0.5000
Au: 0.0000 0.0000 0.5000
Au: 0.5000 0.0000 0.0000
Tc: 0.0000 0.0000 0.0000
Al: 0.0000 0.5000 0.0000

No. 9
A plane-wave DFT calculation with PBE-GGA was carried out for Th2AlGe2Au4 after structural relaxation.

Summary:
energy of formation	-0.52	eV/atom
density of states at the Fermi level	5.86	states/eV per cell

Lattice parameters (Å, degrees): 6.5540 6.5540 6.5540 87.48 121.47 121.47
Fractional coordinates of all 9 atoms:
Th: 0.5000 0.7500 0.2500
Th: 0.5000 0.2500 0.7500
Al: 0.0000 0.0000 0.0000
Ge: 0.0000 0.7036 0.7036
Ge: 0.0000 0.2964 0.2964
Au: 0.0000 0.7263 0.2737
Au: 0.4527 0.7263 0.7263
Au: 0.0000 0.2737 0.7263
Au: 0.5473 0.2737 0.2737

No. 10
A plane-wave DFT calculation with PBE-GGA was carried out for TiAlGe2Au after structural relaxation.

Summary:
energy of formation	0.59	eV/atom
density of states at the Fermi level	4.66	states/eV per cell

Lattice parameters (Å, degrees): 4.8721 5.0344 4.8721 90.00 90.00 90.00
Fractional coordinates of all 5 atoms:
Ge: 0.0000 0.0000 0.5000
Ge: 0.5000 0.0000 0.0000
Au: 0.5000 0.5000 0.5000
Al: 0.0000 0.5000 0.0000
Ti: 0.0000 0.0000 0.0000

No. 11
A plane-wave DFT calculation with PBE-GGA was carried out for Al2HAu after structural relaxation.

Summary:
ΔE to the lowest computed polymorph	0	meV per atom
density of states at the Fermi level	1.36	states/eV per cell

Lattice parameters (Å, degrees): 3.7638 3.7638 6.5426 73.28 73.28 60.00
Fractional coordinates of all 4 atoms:
H: 0.0000 0.0000 0.0000
Au: 0.5000 0.5000 0.5000
Al: 0.0933 0.0933 0.7200
Al: 0.9067 0.9067 0.2800

No. 12
A plane-wave DFT calculation with PBE-GGA was carried out for AlH2Au2 after structural relaxation.

Summary:
ΔE to the lowest computed polymorph	0	meV per atom
density of states at the Fermi level	1.98	states/eV per cell

Lattice parameters (Å, degrees): 6.8225 6.8225 2.7889 90.00 90.00 90.00
Fractional coordinates of all 10 atoms:
H: 0.4604 0.9604 0.0000
H: 0.9604 0.5396 0.0000
H: 0.5396 0.0396 0.0000
H: 0.0396 0.4604 0.0000
Au: 0.2517 0.7517 0.5000
Au: 0.7517 0.7483 0.5000
Au: 0.7483 0.2483 0.5000
Au: 0.2483 0.2517 0.5000
Al: 0.0000 0.0000 0.0000
Al: 0.5000 0.5000 0.0000

No. 13
A plane-wave DFT calculation with PBE-GGA was carried out for AlHAu3 after structural relaxation.

Summary:
ΔE to the lowest computed polymorph	0	meV per atom
density of states at the Fermi level	1.32	states/eV per cell

Lattice parameters (Å, degrees): 4.1982 4.1982 4.1982 90.00 90.00 90.00
Fractional coordinates of all 5 atoms:
H: 0.0000 0.0000 0.0000
Au: 0.0000 0.5000 0.0000
Au: 0.0000 0.0000 0.5000
Au: 0.5000 0.0000 0.0000
Al: 0.5000 0.5000 0.5000

No. 14
A plane-wave DFT calculation with PBE-GGA was carried out for AlHAu2 after structural relaxation.

Summary:
ΔE to the lowest computed polymorph	203	meV per atom
density of states at the Fermi level	1.31	states/eV per cell

Lattice parameters (Å, degrees): 4.3382 4.3382 4.3382 60.00 60.00 60.00
Fractional coordinates of all 4 atoms:
H: 0.0000 0.0000 0.0000
Au: 0.2500 0.2500 0.2500
Au: 0.7500 0.7500 0.7500
Al: 0.5000 0.5000 0.5000

No. 15
A plane-wave DFT calculation with PBE-GGA was carried out for AlH2Au2 after structural relaxation.

Summary:
ΔE to the lowest computed polymorph	118	meV per atom
density of states at the Fermi level	2.08	states/eV per cell

Lattice parameters (Å, degrees): 7.4137 7.4137 2.7031 90.00 90.00 90.00
Fractional coordinates of all 10 atoms:
H: 0.0365 0.5365 0.5000
H: 0.5365 0.9635 0.5000
H: 0.9635 0.4635 0.5000
H: 0.4635 0.0365 0.5000
Au: 0.2471 0.7471 0.0000
Au: 0.7471 0.7529 0.0000
Au: 0.7529 0.2529 0.0000
Au: 0.2529 0.2471 0.0000
Al: 0.0000 0.0000 0.0000
Al: 0.5000 0.5000 0.0000

No. 16
A plane-wave DFT calculation with PBE-GGA was carried out for AlHAu3 after structural relaxation.

Summary:
ΔE to the lowest computed polymorph	581	meV per atom
density of states at the Fermi level	1.44	states/eV per cell

Lattice parameters (Å, degrees): 4.8979 4.8979 4.8979 90.00 90.00 90.00
Fractional coordinates of all 5 atoms:
H: 0.5000 0.5000 0.5000
Au: 0.0000 0.5000 0.0000
Au: 0.0000 0.0000 0.5000
Au: 0.5000 0.0000 0.0000
Al: 0.0000 0.0000 0.0000

No. 17
A plane-wave DFT calculation with PBE-GGA was carried out for Al2HAu after structural relaxation.

Summary:
ΔE to the lowest computed polymorph	140	meV per atom
density of states at the Fermi level	1.89	states/eV per cell

Lattice parameters (Å, degrees): 4.3103 4.3103 4.3103 60.00 60.00 60.00
Fractional coordinates of all 4 atoms:
H: 0.0000 0.0000 0.0000
Au: 0.5000 0.5000 0.5000
Al: 0.2500 0.2500 0.2500
Al: 0.7500 0.7500 0.7500

No. 18
A plane-wave DFT calculation with PBE-GGA was carried out for Al2H6Au after structural relaxation.

Summary:
electronic total energy	-30.726	eV for the cell shown
density of states at the Fermi level	1.33	states/eV per cell

Lattice parameters (Å, degrees): 8.2385 4.3975 4.3975 59.11 59.48 59.48
Fractional coordinates of all 9 atoms:
Al: 0.8956 0.7335 0.7335
Al: 0.1044 0.2665 0.2665
H: 0.6574 0.8905 0.8905
H: 0.5424 0.7176 0.5443
H: 0.5424 0.5443 0.7176
H: 0.3426 0.1095 0.1095
H: 0.4576 0.2824 0.4557
H: 0.4576 0.4557 0.2824
Au: 0.0000 0.0000 0.0000

No. 19
A plane-wave DFT calculation with PBE-GGA was carried out for Al2HAu after structural relaxation.

Summary:
ΔE to the lowest computed polymorph	107	meV per atom
density of states at the Fermi level	2.93	states/eV per cell

Lattice parameters (Å, degrees): 4.7039 4.7039 6.5924 69.10 69.10 90.00
Fractional coordinates of all 8 atoms:
H: 0.5000 0.5000 0.0000
H: 0.2500 0.7500 0.5000
Au: 0.0000 0.0000 0.0000
Au: 0.7500 0.2500 0.5000
Al: 0.5041 0.1250 0.2500
Al: 0.2459 0.6250 0.2500
Al: 0.3750 0.4959 0.7500
Al: 0.8750 0.7541 0.7500

No. 20
A plane-wave DFT calculation with PBE-GGA was carried out for AlHAu2 after structural relaxation.

Summary:
ΔE to the lowest computed polymorph	0	meV per atom
density of states at the Fermi level	1.97	states/eV per cell

Lattice parameters (Å, degrees): 5.3139 5.3139 5.9348 63.40 63.40 90.00
Fractional coordinates of all 8 atoms:
H: 0.5000 0.5000 0.0000
H: 0.2500 0.7500 0.5000
Au: 0.5353 0.1250 0.2500
Au: 0.2147 0.6250 0.2500
Au: 0.3750 0.4647 0.7500
Au: 0.8750 0.7853 0.7500
Al: 0.0000 0.0000 0.0000
Al: 0.7500 0.2500 0.5000

no.,ρ (g/cm³)
1,10.10
2,8.48
3,9.13
4,10.19
5,9.07
6,8.81
7,9.11
8,8.24
9,12.16
10,5.80
11,5.53
12,10.82
13,13.89
14,12.14
15,9.45
16,8.75
17,7.39
18,3.84
19,6.64
20,10.80